A plane-wave DFT calculation with PBE was carried out for a geometry-optimized Sc2AsOs structure.

Results
The value obtained for the formation energy is -0.2985 eV/atom.

Cell: 4.5777 4.5777 4.5777 Å, 60.00 60.00 60.00°
Last column: nearest neighbours and their distance in Å.
Fractional coordinates of all 4 atoms:
Os1 0.7500 0.7500 0.7500  4 Sc 2.80, 4 As 2.80
Sc1 0.2500 0.2500 0.2500  4 As 2.80, 4 Sc 2.80
Sc2 0.0000 0.0000 0.0000  4 Sc 2.80, 4 Os 2.80
As1 0.5000 0.5000 0.5000  4 Os 2.80, 4 Sc 2.80